Record 1
The following is a DFT calculation (PBE) of a relaxed structure of NdYEr.

POSCAR file:
```
NdYEr
1.0
6.264 0.000 0.000
0.000 3.613 0.000
-2.077 0.000 8.656
Nd Y Er
2 2 2
Cartesian
0.515 0.903 4.300
3.673 2.710 4.357
2.613 0.903 1.421
1.574 2.710 7.236
-1.551 0.903 7.258
5.738 2.710 1.398
```

M_tot ... 0.00 μB/cell
E_form ... -0.01 eV/f.u.
Crystal system ... monoclinic
Density of states at the Fermi level ... 8.85 states/eV per cell

Record 2
The following is a DFT calculation (PBE) of a relaxed structure of Nd4Y11Er9.

POSCAR file:
```
Nd4Y11Er9
1.0
8.345 -12.559 0.000
8.345 12.559 0.000
0.000 0.000 3.702
Nd Y Er
4 11 9
Cartesian
2.577 2.522 0.000
2.577 -2.522 0.000
14.114 2.522 0.000
14.114 -2.522 0.000
4.581 4.550 1.851
8.345 9.160 1.851
3.543 0.000 1.851
8.345 4.000 1.851
4.581 -4.550 1.851
8.345 0.000 1.851
12.109 4.550 1.851
8.345 -4.000 1.851
13.148 0.000 1.851
8.345 -9.160 1.851
12.109 -4.550 1.851
0.000 0.000 0.000
6.652 6.641 0.000
6.022 1.821 0.000
10.039 6.641 0.000
6.022 -1.821 0.000
10.669 1.821 0.000
6.652 -6.641 0.000
10.669 -1.821 0.000
10.039 -6.641 0.000
```

M_tot ... 0.49 μB/cell
E_form ... 1.42 eV/f.u.
Crystal system ... orthorhombic
Density of states at the Fermi level ... 30.46 states/eV per cell

Record 3
The following is a DFT calculation (PBE) of a relaxed structure of NdY2Er7.

POSCAR file:
```
NdY2Er7
1.0
6.120 0.000 0.000
1.024 6.036 0.000
3.048 2.572 8.465
Nd Y Er
1 2 7
Cartesian
0.000 0.000 0.000
4.084 6.554 1.717
6.108 2.054 6.749
2.030 3.787 2.556
3.053 1.545 5.069
5.093 5.336 7.610
5.096 4.304 4.233
5.099 3.272 0.856
7.140 7.063 3.397
8.162 4.821 5.910
```

M_tot ... 0.00 μB/cell
E_form ... 0.23 eV/f.u.
Crystal system ... triclinic
Density of states at the Fermi level ... 13.61 states/eV per cell